#a
KRbIn2Pd: relaxed, GGA-PBE.

a b c (Å): 5.309 5.309 6.208
angles (deg): 90.00 90.00 90.00
Sites, in units of the cell vectors:
K1 0.000 0.000 0.000
Rb1 0.500 0.500 0.000
In1 0.000 0.500 0.500
In2 0.500 0.000 0.500
Pd1 0.000 0.000 0.500

***

#b
KRbIn2Pd: relaxed, GGA-PBE.

a b c (Å): 5.319 5.319 6.323
angles (deg): 90.00 90.00 90.00
Sites, in units of the cell vectors:
K1 0.000 0.000 0.000
Rb1 0.500 0.500 0.000
In1 0.000 0.500 0.500
In2 0.500 0.000 0.500
Pd1 0.500 0.500 0.500

***

Which of them is the least stable? Correct choice: #b.

***

#a
K2InPt2: relaxed, GGA-PBE.

a b c (Å): 6.374 6.374 6.374
angles (deg): 130.34 130.34 72.87
Sites, in units of the cell vectors:
K1 0.135 0.135 0.000
K2 0.865 0.865 0.000
In1 0.500 0.500 0.000
Pt1 0.250 0.750 0.500
Pt2 0.750 0.250 0.500

***

#b
K2InPt2: relaxed, GGA-PBE.

a b c (Å): 6.919 6.919 5.482
angles (deg): 90.00 90.00 90.00
Sites, in units of the cell vectors:
K1 0.172 0.328 0.000
K2 0.328 0.828 0.000
K3 0.672 0.172 0.000
K4 0.828 0.672 0.000
In1 0.000 0.000 0.500
In2 0.500 0.500 0.500
Pt1 0.133 0.633 0.500
Pt2 0.367 0.133 0.500
Pt3 0.633 0.867 0.500
Pt4 0.867 0.367 0.500

***

Which of them is the least stable? Correct choice: #a.

***

#a
KIn3Pt: relaxed, GGA-PBE.

a b c (Å): 5.829 5.829 5.829
angles (deg): 90.00 90.00 90.00
Sites, in units of the cell vectors:
K1 0.000 0.000 0.000
In1 0.000 0.000 0.500
In2 0.000 0.500 0.000
In3 0.500 0.000 0.000
Pt1 0.500 0.500 0.500

***

#b
KIn3Pt: relaxed, GGA-PBE.

a b c (Å): 8.669 7.174 9.920
angles (deg): 90.00 108.35 90.00
Sites, in units of the cell vectors:
K1 0.144 0.071 0.214
K2 0.144 0.429 0.714
K3 0.856 0.571 0.286
K4 0.856 0.929 0.786
In1 0.144 0.602 0.083
In2 0.144 0.898 0.583
In3 0.306 0.007 0.890
In4 0.306 0.493 0.390
In5 0.470 0.138 0.636
In6 0.470 0.362 0.136
In7 0.530 0.638 0.864
In8 0.530 0.862 0.364
In9 0.694 0.507 0.610
In10 0.694 0.993 0.110
In11 0.856 0.102 0.417
In12 0.856 0.398 0.917
Pt1 0.438 0.742 0.092
Pt2 0.438 0.758 0.592
Pt3 0.562 0.242 0.408
Pt4 0.562 0.258 0.908

***

Which of them is the least stable? Correct choice: #a.